# K2OsW, relaxed, DFT PBE-GGA
data_K2OsW
_chemical_formula_sum 'K4 Os2 W2'
_symmetry_space_group_name_H-M 'C m m m'
_symmetry_Int_Tables_number 65
_symmetry_space_group_name_Hall '-C 2 2'
_cell_length_a 2.996
_cell_length_b 4.598
_cell_length_c 12.079
_cell_angle_alpha 90.00
_cell_angle_beta 90.00
_cell_angle_gamma 90.00
loop_
_atom_site_label
_atom_site_fract_x
_atom_site_fract_y
_atom_site_fract_z
K1 0.000 0.000 0.237
Os1 0.000 0.500 0.000
W1 0.000 0.500 0.500
# - energy relative to the elements (eV/atom) = 1.4426
# - ρ (g cm⁻³) = 9.03
# - relative energy among the computed polymorphs (eV/atom) = 0.628